[1]
## TbNdEuGa (GGA-PBE)

Data for TbNdEuGa after structural relaxation.

a = 5.4409 Å, b = 5.4409 Å, c = 5.4409 Å
α = 60.00°, β = 60.00°, γ = 60.00°
Fractional positions:
Tb1 0.0000 0.0000 0.0000
Nd1 0.5000 0.5000 0.5000
Ga1 0.2500 0.2500 0.2500
Eu1 0.7500 0.7500 0.7500

Energy of formation, eV per atom: -0.082
Space-group type: F-43m, No. 216
Magnetic moment, μB/atom: 1.89
ρ, g/cm³: 7.65



[2]
## MnTeRu2 (GGA-PBE)

Data for MnTeRu2 after structural relaxation.

a = 3.0295 Å, b = 3.0295 Å, c = 7.1619 Å
α = 90.00°, β = 90.00°, γ = 90.00°
Fractional positions:
Ru1 0.5000 0.5000 0.2350
Ru2 0.0000 0.0000 0.9994
Mn1 0.5000 0.5000 0.7806
Te1 0.0000 0.0000 0.4850

Space-group type: P4mm, No. 99
Energy relative to the elements, uncorrected, eV/atom: 0.405
Magnetic moment, μB/atom: 0.77
ρ, g/cm³: 9.72



[3]
## Hf2Be4Zn (GGA-PBE)

Data for Hf2Be4Zn after structural relaxation.

a = 3.9034 Å, b = 3.9034 Å, c = 7.1755 Å
α = 74.22°, β = 74.22°, γ = 90.00°
Fractional positions:
Zn1 0.0000 0.0000 0.0000
Hf1 0.6512 0.6512 0.6976
Be1 0.5000 0.0000 0.0000
Hf2 0.3488 0.3488 0.3024
Be2 0.1581 0.1581 0.6838
Be3 0.0000 0.5000 0.0000
Be4 0.8419 0.8419 0.3162

Energy of formation, eV per atom: 0.441
Space-group type: I4/mmm, No. 139
Magnetic moment, μB/atom: 0.00
ρ, g/cm³: 7.54



[4]
## NaHg4Pb4 (GGA-PBE)

Data for NaHg4Pb4 after structural relaxation.

a = 7.3573 Å, b = 7.3573 Å, c = 10.7548 Å
α = 90.00°, β = 90.00°, γ = 90.00°
Fractional positions:
Hg1 0.2673 0.0000 0.2827
Pb1 0.7776 0.5000 0.9135
Hg2 0.5000 0.7673 0.7827
Pb2 0.5000 0.2224 0.0865
Hg3 0.7673 0.5000 0.2173
Pb3 0.2776 0.0000 0.5865
Hg4 0.0000 0.2673 0.7173
Hg5 0.7327 0.0000 0.2827
Hg6 0.2327 0.5000 0.2173
Pb4 0.0000 0.2776 0.4135
Pb5 0.7224 0.0000 0.5865
Hg7 0.0000 0.7327 0.7173
Pb6 0.5000 0.7776 0.0865
Pb7 0.2224 0.5000 0.9135
Pb8 0.0000 0.7224 0.4135
Hg8 0.5000 0.2327 0.7827
Na1 0.5000 0.5000 0.5000
Na2 0.0000 0.0000 0.0000

Distance to the lowest polymorph of the same formula, kJ/mol of atoms: 8.8
Energy of formation, eV per atom: 0.044
Space-group type: P4_2/nmc, No. 137
Magnetic moment, μB/atom: 0.00
ρ, g/cm³: 9.44



[5]
## Hf2Ni7Sb2Au (GGA-PBE)

Data for Hf2Ni7Sb2Au after structural relaxation.

a = 3.5289 Å, b = 3.5289 Å, c = 15.3915 Å
α = 83.62°, β = 83.62°, γ = 89.99°
Fractional positions:
Sb1 0.1866 0.1866 0.6171
Ni1 0.5000 0.5000 0.0000
Ni2 0.7205 0.7205 0.5490
Hf1 0.3778 0.3778 0.2523
Ni3 0.5635 0.0635 0.8687
Hf2 0.6222 0.6222 0.7477
Ni4 0.4365 0.9365 0.1313
Au1 0.0000 0.0000 0.0000
Sb2 0.8134 0.8134 0.3829
Ni5 0.2795 0.2795 0.4510
Ni6 0.9365 0.4365 0.1313
Ni7 0.0635 0.5635 0.8687

Space-group type: C2/m, No. 12
Energy relative to the elements, uncorrected, eV/atom: -0.087
Magnetic moment, μB/atom: 0.00
ρ, g/cm³: 10.60



[6]
## Hf2TaO2 (GGA-PBE)

Data for Hf2TaO2 after structural relaxation.

a = 6.6782 Å, b = 6.6782 Å, c = 3.0313 Å
α = 90.00°, β = 90.00°, γ = 90.00°
Fractional positions:
Hf1 0.8279 0.3279 0.5000
O1 0.6374 0.1374 0.0000
O2 0.8626 0.6374 0.0000
Hf2 0.6721 0.8279 0.5000
Ta1 0.5000 0.5000 0.0000
O3 0.1374 0.3626 0.0000
Hf3 0.3279 0.1721 0.5000
Ta2 0.0000 0.0000 0.0000
Hf4 0.1721 0.6721 0.5000
O4 0.3626 0.8626 0.0000

Space-group type: P4/mbm, No. 127
Energy relative to the elements, uncorrected, eV/atom: -1.087
Magnetic moment, μB/atom: 0.00
ρ, g/cm³: 14.00



Please write out number 4 again, unchanged.
## NaHg4Pb4 (GGA-PBE)

Data for NaHg4Pb4 after structural relaxation.

a = 7.3573 Å, b = 7.3573 Å, c = 10.7548 Å
α = 90.00°, β = 90.00°, γ = 90.00°
Fractional positions:
Hg1 0.2673 0.0000 0.2827
Pb1 0.7776 0.5000 0.9135
Hg2 0.5000 0.7673 0.7827
Pb2 0.5000 0.2224 0.0865
Hg3 0.7673 0.5000 0.2173
Pb3 0.2776 0.0000 0.5865
Hg4 0.0000 0.2673 0.7173
Hg5 0.7327 0.0000 0.2827
Hg6 0.2327 0.5000 0.2173
Pb4 0.0000 0.2776 0.4135
Pb5 0.7224 0.0000 0.5865
Hg7 0.0000 0.7327 0.7173
Pb6 0.5000 0.7776 0.0865
Pb7 0.2224 0.5000 0.9135
Pb8 0.0000 0.7224 0.4135
Hg8 0.5000 0.2327 0.7827
Na1 0.5000 0.5000 0.5000
Na2 0.0000 0.0000 0.0000

Distance to the lowest polymorph of the same formula, kJ/mol of atoms: 8.8
Energy of formation, eV per atom: 0.044
Space-group type: P4_2/nmc, No. 137
Magnetic moment, μB/atom: 0.00
ρ, g/cm³: 9.44